Here is an optimized crystal structure of Mg2PtPb from the Alexandria database. Energies are from GGA-PBE.

Cell and atoms, written as CIF:
```
data_Mg2PtPb
_chemical_formula_sum 'Mg8 Pt4 Pb4'
_symmetry_space_group_name_H-M 'I -4 2 d'
_symmetry_Int_Tables_number 122
_symmetry_space_group_name_Hall 'I -4 2bw'
_cell_length_a 7.857
_cell_length_b 7.857
_cell_length_c 6.009
_cell_angle_alpha 90.00
_cell_angle_beta 90.00
_cell_angle_gamma 90.00
loop_
_atom_site_label
_atom_site_fract_x
_atom_site_fract_y
_atom_site_fract_z
_atom_site_occupancy
Mg1 0.194 0.750 0.125 1
Pt1 0.000 0.000 0.000 1
Pb1 0.000 0.000 0.500 1
```

Properties
DFT total energy ... -3.418 eV per atom
Calculated volume ... 92.7 Å³/f.u.
Total magnetization ... 0.00 μB per formula unit
Calculated formation energy ... -183 meV/atom

=====

Here is an optimized crystal structure of MgPtPb2 from the Alexandria database. Energies are from GGA-PBE.

Cell and atoms, written as CIF:
```
data_MgPtPb2
_chemical_formula_sum 'Mg1 Pt1 Pb2'
_symmetry_space_group_name_H-M 'P 4 m m'
_symmetry_Int_Tables_number 99
_cell_length_a 3.380
_cell_length_b 3.380
_cell_length_c 8.330
_cell_angle_alpha 90.00
_cell_angle_beta 90.00
_cell_angle_gamma 90.00
loop_
_symmetry_equiv_pos_as_xyz
'x,y,z'
'-y,x,z'
'-x,-y,z'
'y,-x,z'
'-x,y,z'
'y,x,z'
'x,-y,z'
'-y,-x,z'
loop_
_atom_site_label
_atom_site_fract_x
_atom_site_fract_y
_atom_site_fract_z
_atom_site_occupancy
Mg1 0.000 0.000 0.000 1
Pt1 0.500 0.500 0.845 1
Pb1 0.000 0.000 0.619 1
Pb2 0.500 0.500 0.269 1
```

Properties
DFT total energy ... -4.034 eV per atom
Calculated volume ... 95.1 Å³/f.u.
Total magnetization ... 0.00 μB per formula unit
Calculated formation energy ... -271 meV/atom

=====

Here is an optimized crystal structure of MgPtPb2 from the Alexandria database. Energies are from GGA-PBE.

Cell and atoms, written as CIF:
```
data_MgPtPb2
_chemical_formula_sum 'Mg4 Pt4 Pb8'
_symmetry_space_group_name_H-M 'I -4 2 d'
_symmetry_Int_Tables_number 122
_symmetry_space_group_name_Hall 'I -4 2bw'
_cell_length_a 4.456
_cell_length_b 4.456
_cell_length_c 19.923
_cell_angle_alpha 90.00
_cell_angle_beta 90.00
_cell_angle_gamma 90.00
loop_
_atom_site_label
_atom_site_fract_x
_atom_site_fract_y
_atom_site_fract_z
_atom_site_occupancy
Mg1 0.000 0.000 0.000 1
Pt1 0.000 0.000 0.500 1
Pb1 0.242 0.250 0.625 1
```

Properties
DFT total energy ... -3.728 eV per atom
Calculated volume ... 98.9 Å³/f.u.
Total magnetization ... 0.00 μB per formula unit
Calculated formation energy ... 35 meV/atom

=====

Here is an optimized crystal structure of Mg6PtPb2 from the Alexandria database. Energies are from GGA-PBE.

Cell and atoms, written as CIF:
```
data_Mg6PtPb2
_chemical_formula_sum 'Mg6 Pt1 Pb2'
_symmetry_space_group_name_H-M 'P -6 2 m'
_symmetry_Int_Tables_number 189
_symmetry_space_group_name_Hall 'P -6 -2'
_cell_length_a 8.0948
_cell_length_b 8.0948
_cell_length_c 3.5919
_cell_angle_alpha 90.00
_cell_angle_beta 90.00
_cell_angle_gamma 120.00
loop_
_atom_site_label
_atom_site_fract_x
_atom_site_fract_y
_atom_site_fract_z
_atom_site_occupancy
Mg1 0.0000 0.3522 0.0000 1
Mg2 0.0000 0.7535 0.5000 1
Pt1 0.0000 0.0000 0.0000 1
Pb1 0.3333 0.6667 0.5000 1
```

Properties
DFT total energy ... -2.875 eV per atom
Calculated volume ... 203.8 Å³/f.u.
Total magnetization ... 0.00 μB per formula unit
Calculated formation energy ... -317 meV/atom

=====

Here is an optimized crystal structure of Mg2PtPb from the Alexandria database. Energies are from GGA-PBE.

Cell and atoms, written as CIF:
```
data_Mg2PtPb
_chemical_formula_sum 'Mg6 Pt3 Pb3'
_symmetry_space_group_name_H-M 'R -3 m'
_symmetry_Int_Tables_number 166
_symmetry_space_group_name_Hall '-R 3 2"'
_cell_length_a 3.2850
_cell_length_b 3.2850
_cell_length_c 28.0626
_cell_angle_alpha 90.00
_cell_angle_beta 90.00
_cell_angle_gamma 120.00
loop_
_atom_site_label
_atom_site_fract_x
_atom_site_fract_y
_atom_site_fract_z
_atom_site_occupancy
Mg1 0.0000 0.0000 0.2339 1
Pt1 0.0000 0.0000 0.5000 1
Pb1 0.0000 0.0000 0.0000 1
```

Properties
DFT total energy ... -3.516 eV per atom
Calculated volume ... 87.4 Å³/f.u.
Total magnetization ... 0.00 μB per formula unit
Calculated formation energy ... -281 meV/atom

=====

Here is an optimized crystal structure of Mg2PtPb from the Alexandria database. Energies are from GGA-PBE.

Cell and atoms, written as CIF:
```
data_Mg2PtPb
_chemical_formula_sum 'Mg4 Pt2 Pb2'
_symmetry_space_group_name_H-M 'C 1 m 1'
_symmetry_Int_Tables_number 8
_cell_length_a 9.945
_cell_length_b 3.558
_cell_length_c 5.079
_cell_angle_alpha 90.00
_cell_angle_beta 108.72
_cell_angle_gamma 90.00
loop_
_symmetry_equiv_pos_as_xyz
'x,y,z'
'x,-y,z'
'x+1/2,y+1/2,z'
'x+1/2,-y+1/2,z'
loop_
_atom_site_label
_atom_site_fract_x
_atom_site_fract_y
_atom_site_fract_z
_atom_site_occupancy
Mg1 0.000 0.000 0.000 1
Mg2 0.218 0.000 0.692 1
Pt1 0.497 0.000 0.600 1
Pb1 0.273 0.500 0.251 1
```

Properties
DFT total energy ... -3.562 eV per atom
Calculated volume ... 85.1 Å³/f.u.
Total magnetization ... 0.00 μB per formula unit
Calculated formation energy ... -327 meV/atom

=====

Here is an optimized crystal structure of Mg2PtPb from the Alexandria database. Energies are from GGA-PBE.

Cell and atoms, written as CIF:
```
data_Mg2PtPb
_chemical_formula_sum 'Mg8 Pt4 Pb4'
_symmetry_space_group_name_H-M 'F -4 3 m'
_symmetry_Int_Tables_number 216
_symmetry_space_group_name_Hall 'F -4 2 3'
_cell_length_a 6.848
_cell_length_b 6.848
_cell_length_c 6.848
_cell_angle_alpha 90.00
_cell_angle_beta 90.00
_cell_angle_gamma 90.00
loop_
_atom_site_label
_atom_site_fract_x
_atom_site_fract_y
_atom_site_fract_z
_atom_site_occupancy
Mg1 0.000 0.000 0.000 1
Mg2 0.250 0.250 0.250 1
Pt1 0.250 0.250 0.750 1
Pb1 0.000 0.000 0.500 1
```

Properties
DFT total energy ... -3.452 eV per atom
Calculated volume ... 80.3 Å³/f.u.
Total magnetization ... 0.00 μB per formula unit
Calculated formation energy ... -217 meV/atom

=====

Here is an optimized crystal structure of Mg2PtPb from the Alexandria database. Energies are from GGA-PBE.

Cell and atoms, written as CIF:
```
data_Mg2PtPb
_chemical_formula_sum 'Mg2 Pt1 Pb1'
_symmetry_space_group_name_H-M 'P 1 2/m 1'
_symmetry_Int_Tables_number 10
_cell_length_a 3.144
_cell_length_b 3.397
_cell_length_c 7.841
_cell_angle_alpha 90.00
_cell_angle_beta 90.31
_cell_angle_gamma 90.00
loop_
_symmetry_equiv_pos_as_xyz
'x,y,z'
'-x,-y,-z'
'-x,y,-z'
'x,-y,z'
loop_
_atom_site_label
_atom_site_fract_x
_atom_site_fract_y
_atom_site_fract_z
_atom_site_occupancy
Mg1 0.003 0.000 0.191 1
Pt1 0.500 0.500 0.000 1
Pb1 0.500 0.500 0.500 1
```

Properties
DFT total energy ... -3.711 eV per atom
Calculated volume ... 83.7 Å³/f.u.
Total magnetization ... 0.00 μB per formula unit
Calculated formation energy ... -476 meV/atom

=====

Here is an optimized crystal structure of Mg2PtPb from the Alexandria database. Energies are from GGA-PBE.

Cell and atoms, written as CIF:
```
data_Mg2PtPb
_chemical_formula_sum 'Mg6 Pt3 Pb3'
_symmetry_space_group_name_H-M 'R 3 m'
_symmetry_Int_Tables_number 160
_symmetry_space_group_name_Hall 'R 3 -2"'
_cell_length_a 4.5755
_cell_length_b 4.5755
_cell_length_c 14.7641
_cell_angle_alpha 90.00
_cell_angle_beta 90.00
_cell_angle_gamma 120.00
loop_
_atom_site_label
_atom_site_fract_x
_atom_site_fract_y
_atom_site_fract_z
_atom_site_occupancy
Mg1 0.0000 0.0000 0.0000 1
Mg2 0.0000 0.0000 0.2301 1
Pt1 0.0000 0.0000 0.6362 1
Pb1 0.0000 0.0000 0.4421 1
```

Properties
DFT total energy ... -3.577 eV per atom
Calculated volume ... 89.2 Å³/f.u.
Total magnetization ... 0.00 μB per formula unit
Calculated formation energy ... -342 meV/atom

=====

Here is an optimized crystal structure of Mg6Pt2Pb from the Alexandria database. Energies are from GGA-PBE.

Cell and atoms, written as CIF:
```
data_Mg6Pt2Pb
_chemical_formula_sum 'Mg24 Pt8 Pb4'
_symmetry_space_group_name_H-M 'I m m m'
_symmetry_Int_Tables_number 71
_symmetry_space_group_name_Hall '-I 2 2'
_cell_length_a 8.606
_cell_length_b 8.757
_cell_length_c 10.211
_cell_angle_alpha 90.00
_cell_angle_beta 90.00
_cell_angle_gamma 90.00
loop_
_atom_site_label
_atom_site_fract_x
_atom_site_fract_y
_atom_site_fract_z
_atom_site_occupancy
Mg1 0.000 0.217 0.248 1
Mg2 0.188 0.500 0.159 1
Mg3 0.199 0.312 0.500 1
Pt1 0.000 0.326 0.000 1
Pt2 0.000 0.500 0.363 1
Pb1 0.000 0.000 0.000 1
Pb2 0.000 0.000 0.500 1
```

Properties
DFT total energy ... -3.263 eV per atom
Calculated volume ... 192.4 Å³/f.u.
Total magnetization ... 0.00 μB per formula unit
Calculated formation energy ... -446 meV/atom

=====

Here is an optimized crystal structure of MgPtPb2 from the Alexandria database. Energies are from GGA-PBE.

Cell and atoms, written as CIF:
```
data_MgPtPb2
_chemical_formula_sum 'Mg2 Pt2 Pb4'
_symmetry_space_group_name_H-M 'C 1 2/m 1'
_symmetry_Int_Tables_number 12
_cell_length_a 9.045
_cell_length_b 3.713
_cell_length_c 5.909
_cell_angle_alpha 90.00
_cell_angle_beta 105.13
_cell_angle_gamma 90.00
loop_
_symmetry_equiv_pos_as_xyz
'x,y,z'
'-x,-y,-z'
'-x,y,-z'
'x,-y,z'
'x+1/2,y+1/2,z'
'-x+1/2,-y+1/2,-z'
'-x+1/2,y+1/2,-z'
'x+1/2,-y+1/2,z'
loop_
_atom_site_label
_atom_site_fract_x
_atom_site_fract_y
_atom_site_fract_z
_atom_site_occupancy
Mg1 0.000 0.000 0.000 1
Pt1 0.000 0.500 0.500 1
Pb1 0.236 0.000 0.727 1
```

Properties
DFT total energy ... -3.826 eV per atom
Calculated volume ... 95.8 Å³/f.u.
Total magnetization ... 0.00 μB per formula unit
Calculated formation energy ... -63 meV/atom

=====

Here is an optimized crystal structure of MgPtPb2 from the Alexandria database. Energies are from GGA-PBE.

Cell and atoms, written as CIF:
```
data_MgPtPb2
_chemical_formula_sum 'Mg2 Pt2 Pb4'
_symmetry_space_group_name_H-M 'C m m m'
_symmetry_Int_Tables_number 65
_symmetry_space_group_name_Hall '-C 2 2'
_cell_length_a 6.612
_cell_length_b 6.633
_cell_length_c 4.206
_cell_angle_alpha 90.00
_cell_angle_beta 90.00
_cell_angle_gamma 90.00
loop_
_atom_site_label
_atom_site_fract_x
_atom_site_fract_y
_atom_site_fract_z
_atom_site_occupancy
Mg1 0.000 0.000 0.000 1
Pt1 0.000 0.500 0.000 1
Pb1 0.250 0.250 0.500 1
```

Properties
DFT total energy ... -3.826 eV per atom
Calculated volume ... 92.2 Å³/f.u.
Total magnetization ... 0.00 μB per formula unit
Calculated formation energy ... -63 meV/atom